Density functional theory data (GGA-PBE) for a geometry-optimized CaHoAlPb structure.

a b c (Å): 7.5395 7.5395 7.5395
angles (deg): 90.00 90.00 90.00
Last column: nearest neighbours and their distance in Å.
Space group F-43m (No. 216)
Asymmetric unit:
Ca1 0.0000 0.0000 0.0000 x4  4 Al 3.26, 4 Pb 3.26
Ho1 0.0000 0.0000 0.5000 x4  4 Pb 3.26, 4 Al 3.26
Al1 0.2500 0.2500 0.2500 x4  4 Ho 3.26, 4 Ca 3.26
Pb1 0.2500 0.2500 0.7500 x4  4 Ho 3.26, 4 Ca 3.26

Results
The value obtained for the uncorrected energy is -60.9 eV per cell. The calculation puts the formation energy at -301 meV per atom.